Compound: TbTmMnTl
Source: Alexandria
Functional: GGA-PBE
Structure: optimized geometry

Computed properties:
- Electronic total energy: -5.17 eV/atom
- DFT formation energy: -0.1 eV/f.u.

a = 5.1925 Å, b = 5.1925 Å, c = 5.1925 Å
α = 60.00°, β = 60.00°, γ = 60.00°
Last column: magnetic moment on the atom in μB.
Sites, in units of the cell vectors:
Tl: 0.0000 0.0000 0.0000  0.00
Tm: 0.7500 0.7500 0.7500  -0.24
Tb: 0.2500 0.2500 0.2500  -0.20
Mn: 0.5000 0.5000 0.5000  3.66

=====

Compound: TbTmMn17
Source: Alexandria
Functional: GGA-PBE
Structure: optimized geometry

Computed properties:
- Electronic total energy: -8.69 eV/atom
- DFT formation energy: -0.1 eV/f.u.

a = 6.3115 Å, b = 6.3115 Å, c = 6.3115 Å
α = 86.27°, β = 86.27°, γ = 86.27°
Last column: magnetic moment on the atom in μB.
Sites, in units of the cell vectors:
Tb: 0.6442 0.6442 0.6442  -0.14
Tm: 0.3541 0.3541 0.3541  -0.15
Mn: 0.2757 0.0005 0.7246  -1.00
Mn: 0.7246 0.2757 0.0005  -1.00
Mn: 0.0005 0.7246 0.2757  -1.00
Mn: 0.2757 0.7246 0.0005  -1.00
Mn: 0.0005 0.2757 0.7246  -1.00
Mn: 0.7246 0.0005 0.2757  -1.00
Mn: 0.3555 0.8769 0.3555  2.26
Mn: 0.3555 0.3555 0.8769  2.26
Mn: 0.8769 0.3555 0.3555  2.26
Mn: 0.6434 0.1238 0.6434  2.28
Mn: 0.6434 0.6434 0.1238  2.28
Mn: 0.1238 0.6434 0.6434  2.28
Mn: 0.0006 0.5000 0.0006  0.27
Mn: 0.0006 0.0006 0.5000  0.27
Mn: 0.5000 0.0006 0.0006  0.27
Mn: 0.9005 0.9005 0.9005  -2.02
Mn: 0.0999 0.0999 0.0999  -1.99

=====

Compound: TbTmMn2
Source: Alexandria
Functional: GGA-PBE
Structure: optimized geometry

Computed properties:
- Electronic total energy: -6.67 eV/atom
- DFT formation energy: 0.8 eV/f.u.

a = 3.5750 Å, b = 4.9152 Å, c = 4.9152 Å
α = 90.00°, β = 90.00°, γ = 90.00°
Last column: magnetic moment on the atom in μB.
Sites, in units of the cell vectors:
Tm: 0.5000 0.5000 0.5000  -0.24
Tb: 0.5000 0.0000 0.0000  -0.28
Mn: 0.0000 0.0000 0.5000  3.41
Mn: 0.0000 0.5000 0.0000  3.41

=====

Compound: Tb2TmMn
Source: Alexandria
Functional: GGA-PBE
Structure: optimized geometry

Computed properties:
- Electronic total energy: -5.21 eV/atom
- E above lowest polymorph: 0.376 eV/atom
- DFT formation energy: 2.0 eV/f.u.

a = 3.3806 Å, b = 3.3806 Å, c = 11.4630 Å
α = 81.52°, β = 81.52°, γ = 60.00°
Last column: magnetic moment on the atom in μB.
Sites, in units of the cell vectors:
Tm: 0.5000 0.5000 0.5000  0.05
Tb: 0.0821 0.0821 0.7536  -0.25
Tb: 0.9179 0.9179 0.2464  -0.25
Mn: 0.0000 0.0000 0.0000  3.64

=====

Compound: Tb2TmMn
Source: Alexandria
Functional: GGA-PBE
Structure: optimized geometry

Computed properties:
- Electronic total energy: -5.59 eV/atom
- E above lowest polymorph: 0.000 eV/atom
- DFT formation energy: 0.5 eV/f.u.

a = 3.5437 Å, b = 3.5437 Å, c = 8.5444 Å
α = 90.00°, β = 90.00°, γ = 90.00°
Last column: magnetic moment on the atom in μB.
Sites, in units of the cell vectors:
Tm: 0.5000 0.5000 0.5000  0.35
Tb: 0.0000 0.0000 0.7944  -0.11
Tb: 0.0000 0.0000 0.2056  -0.11
Mn: 0.5000 0.5000 0.0000  3.39

=====

Compound: TbUMn
Source: Alexandria
Functional: GGA-PBE
Structure: optimized geometry

Computed properties:
- Electronic total energy: -8.28 eV/atom
- E above lowest polymorph: 0.000 eV/atom
- DFT formation energy: 0.3 eV/f.u.

a = 3.3249 Å, b = 5.2054 Å, c = 7.3945 Å
α = 90.00°, β = 102.93°, γ = 90.00°
Sites, in units of the cell vectors:
Mn: 0.3823 0.2500 0.7657
Mn: 0.6177 0.7500 0.2343
Tb: 0.0698 0.2500 0.1378
Tb: 0.9302 0.7500 0.8622
U: 0.7737 0.2500 0.5519
U: 0.2263 0.7500 0.4481